No. 1
Compound: AcNpV2O8
Source: the Alexandria database
Functional: PBE+U
Structure: relaxed

Results
DOS at the Fermi energy	8.49	states/eV/f.u.
total moment	8.00	μB/cell
raw total energy	-8.52	eV/atom

Cell and atoms, written as CIF:
```
data_AcNpV2O8
_chemical_formula_sum 'Ac2 Np2 V4 O16'
_cell_length_a 7.4827
_cell_length_b 7.4827
_cell_length_c 6.6079
_cell_angle_alpha 90.00
_cell_angle_beta 90.00
_cell_angle_gamma 90.00
_space_group_name_H-M_alt 'I -4 m 2'
_space_group_IT_number 119
_space_group_name_Hall 'I -4 -2'
loop_
_atom_site_label
_atom_site_fract_x
_atom_site_fract_y
_atom_site_fract_z
Ac1 0.0000 0.0000 0.0000
Np1 0.0000 0.5000 0.7500
V1 0.0000 0.0000 0.5000
V2 0.0000 0.5000 0.2500
O1 0.0000 0.1877 0.6649
O2 0.0000 0.3272 0.0716
```

No. 2
Compound: AcNp2VO8
Source: the Alexandria database
Functional: PBE+U
Structure: relaxed

Results
DOS at the Fermi energy	4.95	states/eV/f.u.
total moment	6.00	μB/cell
raw total energy	-9.23	eV/atom

Cell and atoms, written as CIF:
```
data_AcNp2VO8
_chemical_formula_sum 'Ac1 Np2 V1 O8'
_cell_length_a 5.0413
_cell_length_b 7.0459
_cell_length_c 5.0444
_cell_angle_alpha 90.00
_cell_angle_beta 92.40
_cell_angle_gamma 90.00
_space_group_name_H-M_alt 'P 1 2/m 1'
_space_group_IT_number 10
loop_
_space_group_symop_operation_xyz
'x,y,z'
'-x,-y,-z'
'-x,y,-z'
'x,-y,z'
loop_
_atom_site_label
_atom_site_fract_x
_atom_site_fract_y
_atom_site_fract_z
Ac1 0.0000 0.0000 0.0000
Np1 0.5000 0.2646 0.5000
V1 0.0000 0.5000 0.0000
O1 0.2050 0.2870 0.2072
O2 0.2953 0.5000 0.7062
O3 0.3324 0.0000 0.6706
```

No. 3
Compound: Ac2NpVO6
Source: the Alexandria database
Functional: PBE+U
Structure: relaxed

Results
DOS at the Fermi energy	10.38	states/eV/f.u.
total moment	12.00	μB/cell
raw total energy	-8.74	eV/atom

Cell and atoms, written as CIF:
```
data_Ac2NpVO6
_chemical_formula_sum 'Ac4 Np2 V2 O12'
_cell_length_a 5.9488
_cell_length_b 6.0925
_cell_length_c 10.3221
_cell_angle_alpha 90.00
_cell_angle_beta 124.72
_cell_angle_gamma 90.00
_space_group_name_H-M_alt 'P 1 21/c 1'
_space_group_IT_number 14
loop_
_space_group_symop_operation_xyz
'x,y,z'
'-x,-y,-z'
'-x,y+1/2,-z+1/2'
'x,-y+1/2,z+1/2'
loop_
_atom_site_label
_atom_site_fract_x
_atom_site_fract_y
_atom_site_fract_z
Ac1 0.2372 0.0492 0.2491
Np1 0.5000 0.0000 0.0000
V1 0.0000 0.0000 0.5000
O1 0.1458 0.2035 0.9476
O2 0.2405 0.7011 0.9446
O3 0.3492 0.0368 0.7466
```

No. 4
Compound: AcNpWO6
Source: the Alexandria database
Functional: PBE+U
Structure: relaxed

Results
DOS at the Fermi energy	6.02	states/eV/f.u.
total moment	8.00	μB/cell
raw total energy	-8.63	eV/atom

Cell and atoms, written as CIF:
```
data_AcNpWO6
_chemical_formula_sum 'Ac2 Np2 W2 O12'
_cell_length_a 5.7581
_cell_length_b 5.7581
_cell_length_c 9.3515
_cell_angle_alpha 90.00
_cell_angle_beta 90.00
_cell_angle_gamma 120.00
_space_group_name_H-M_alt 'P -3 1 c'
_space_group_IT_number 163
_space_group_name_Hall '-P 3 2c'
loop_
_atom_site_label
_atom_site_fract_x
_atom_site_fract_y
_atom_site_fract_z
Ac1 0.3333 0.6667 0.2500
Np1 0.0000 0.0000 0.0000
W1 0.3333 0.6667 0.7500
O1 0.0605 0.3500 0.6238
```